A plane-wave DFT calculation with PBE was carried out for a relaxed structure of KI3.

a = 9.9072 Å, b = 9.9072 Å, c = 9.9072 Å
α = 152.58°, β = 152.58°, γ = 39.17°
Closest atoms and distances in Å follow each position.
Positions (direct):
K  0.0000  0.0000  0.0000  4 I 3.32
I  0.2488  0.2488  0.0000  4 I 3.32
I  0.5000  0.5000  0.0000  4 K 3.32
I  0.7512  0.7512  0.0000  4 I 3.32

Properties
formation energy from raw total energies = -0.591 eV/atom
volume = 51.471 Å³ per atom
mass density = 3.386 Mg/m³


A plane-wave DFT calculation with PBE was carried out for a relaxed structure of K4I.

a = 7.0100 Å, b = 7.0100 Å, c = 7.0100 Å
α = 90.00°, β = 90.00°, γ = 90.00°
Closest atoms and distances in Å follow each position.
Positions (direct):
K  0.0000  0.0000  0.0000  12 K 4.96
K  0.0000  0.5000  0.5000  2 I 3.51
K  0.5000  0.0000  0.5000  2 I 3.51
K  0.5000  0.5000  0.0000  2 I 3.51
I  0.5000  0.5000  0.5000  6 K 3.51

Properties
formation energy from raw total energies = -0.499 eV/atom
volume = 68.896 Å³ per atom
mass density = 1.366 Mg/m³


A plane-wave DFT calculation with PBE was carried out for a relaxed structure of K3I2.

a = 9.9768 Å, b = 9.9768 Å, c = 9.9768 Å
α = 51.45°, β = 51.45°, γ = 51.45°
Closest atoms and distances in Å follow each position.
Positions (direct):
K  0.0777  0.7500  0.4223  4 I 3.57-3.63
K  0.2500  0.5777  0.9223  4 I 3.57-3.63
K  0.4223  0.0777  0.7500  4 I 3.57-3.63
K  0.5777  0.9223  0.2500  4 I 3.57-3.63
K  0.7500  0.4223  0.0777  4 I 3.57-3.63
K  0.9223  0.2500  0.5777  4 I 3.57-3.63
I  0.1628  0.1628  0.1628  6 K 3.57-3.63
I  0.3372  0.3372  0.3372  6 K 3.57-3.63
I  0.6628  0.6628  0.6628  6 K 3.57-3.63
I  0.8372  0.8372  0.8372  6 K 3.57-3.63

Properties
formation energy from raw total energies = -1.075 eV/atom
volume = 56.085 Å³ per atom
mass density = 2.198 Mg/m³


A plane-wave DFT calculation with PBE was carried out for a relaxed structure of K6I.

a = 9.8414 Å, b = 9.8414 Å, c = 9.8414 Å
α = 109.47°, β = 109.47°, γ = 109.47°
Closest atoms and distances in Å follow each position.
Positions (direct):
K  0.2500  0.5000  0.7500  4 K 4.02
K  0.2500  0.7500  0.5000  4 K 4.02
K  0.5000  0.2500  0.7500  4 K 4.02
K  0.5000  0.7500  0.2500  4 K 4.02
K  0.7500  0.2500  0.5000  4 K 4.02
K  0.7500  0.5000  0.2500  4 K 4.02
I  0.0000  0.0000  0.0000  none within 6

Properties
formation energy from raw total energies = 0.131 eV/atom
volume = 104.822 Å³ per atom
mass density = 0.818 Mg/m³


A plane-wave DFT calculation with PBE was carried out for a relaxed structure of K4I3.

a = 16.9663 Å, b = 16.9663 Å, c = 16.9663 Å
α = 16.93°, β = 16.93°, γ = 16.93°
Closest atoms and distances in Å follow each position.
Positions (direct):
K  0.1247  0.1247  0.1247  6 I 3.57-3.58
K  0.3732  0.3732  0.3732  3 I 3.59
K  0.6268  0.6268  0.6268  3 I 3.59
K  0.8753  0.8753  0.8753  6 I 3.57-3.58
I  0.2508  0.2508  0.2508  6 K 3.58-3.59
I  0.5000  0.5000  0.5000  6 K 3.57
I  0.7492  0.7492  0.7492  6 K 3.58-3.59

Properties
formation energy from raw total energies = -1.242 eV/atom
volume = 51.604 Å³ per atom
mass density = 2.469 Mg/m³


A plane-wave DFT calculation with PBE was carried out for a relaxed structure of KI5.

a = 13.7633 Å, b = 13.7633 Å, c = 4.6490 Å
α = 90.00°, β = 90.00°, γ = 160.61°
Closest atoms and distances in Å follow each position.
Positions (direct):
K  0.0000  0.0000  0.0000  4 I 3.28
I  0.1686  0.8314  0.5000  4 I 3.28
I  0.3314  0.6686  0.0000  4 I 3.28
I  0.5000  0.5000  0.5000  4 K 3.28
I  0.6686  0.3314  0.0000  4 I 3.28
I  0.8314  0.1686  0.5000  4 I 3.28

Properties
formation energy from raw total energies = -0.348 eV/atom
volume = 48.722 Å³ per atom
mass density = 3.826 Mg/m³


A plane-wave DFT calculation with PBE was carried out for a relaxed structure of KI3.

a = 11.4941 Å, b = 11.4941 Å, c = 11.4941 Å
α = 148.09°, β = 148.09°, γ = 45.76°
Closest atoms and distances in Å follow each position.
Positions (direct):
K  0.0000  0.0000  0.0000  4 I 3.61
K  0.7500  0.2500  0.5000  4 I 3.61
I  0.1731  0.6250  0.0481  2 I 3.34, 2 K 3.61
I  0.2500  0.7500  0.5000  4 I 3.34
I  0.3750  0.4231  0.5481  2 I 3.34, 2 K 3.61
I  0.5000  0.5000  0.0000  4 I 3.34
I  0.5769  0.1250  0.9519  2 I 3.34, 2 K 3.61
I  0.8750  0.8269  0.4519  2 I 3.34, 2 K 3.61

Properties
formation energy from raw total energies = -0.472 eV/atom
volume = 52.864 Å³ per atom
mass density = 3.297 Mg/m³


A plane-wave DFT calculation with PBE was carried out for a relaxed structure of KLaI3.

a = 9.2556 Å, b = 9.2556 Å, c = 13.0144 Å
α = 120.72°, β = 120.72°, γ = 27.70°
Closest atoms and distances in Å follow each position.
Positions (direct):
K  0.0983  0.0983  0.4245  5 I 3.46-3.80
K  0.9017  0.9017  0.5755  5 I 3.46-3.80
La  0.2415  0.2415  0.8691  6 I 3.24-3.33
La  0.7585  0.7585  0.1309  6 I 3.24-3.33
I  0.1068  0.1068  0.9670  3 La 3.28
I  0.3155  0.3155  0.6899  1 La 3.24, 3 K 3.46-3.60
I  0.4001  0.4001  0.3280  2 La 3.33
I  0.5999  0.5999  0.6720  2 La 3.33
I  0.6845  0.6845  0.3101  1 La 3.24, 3 K 3.46-3.60
I  0.8932  0.8932  0.0330  3 La 3.28

Properties
formation energy from raw total energies = -1.394 eV/atom
volume = 44.075 Å³ per atom
mass density = 4.210 Mg/m³


A plane-wave DFT calculation with PBE was carried out for a relaxed structure of KLaI3.

a = 8.7388 Å, b = 8.7388 Å, c = 12.5486 Å
α = 105.82°, β = 105.82°, γ = 29.29°
Closest atoms and distances in Å follow each position.
Positions (direct):
K  0.0529  0.0529  0.3711  7 I 3.57-3.78
K  0.9471  0.9471  0.6289  7 I 3.57-3.78
La  0.2618  0.2618  0.1351  6 I 3.27-3.30
La  0.7382  0.7382  0.8649  6 I 3.27-3.30
I  0.1059  0.1059  0.9092  3 La 3.28-3.30
I  0.3470  0.3470  0.7732  2 La 3.28, 2 K 3.57
I  0.3862  0.3862  0.3875  1 La 3.27, 4 K 3.63-3.66
I  0.6138  0.6138  0.6125  1 La 3.27, 4 K 3.63-3.66
I  0.6530  0.6530  0.2268  2 La 3.28, 2 K 3.57
I  0.8941  0.8941  0.0908  3 La 3.28-3.30

Properties
formation energy from raw total energies = -1.399 eV/atom
volume = 44.982 Å³ per atom
mass density = 4.125 Mg/m³


A plane-wave DFT calculation with PBE was carried out for a relaxed structure of K5La3I12.

a = 17.1878 Å, b = 17.1878 Å, c = 17.1878 Å
α = 109.47°, β = 109.47°, γ = 109.47°
Closest atoms and distances in Å follow each position.
Positions (direct):
K  0.0000  0.0000  0.0000  6 I 3.44
K  0.0000  0.0000  0.5000  6 I 3.44
K  0.0000  0.5000  0.0000  6 I 3.44
K  0.0000  0.5000  0.5000  6 I 3.44
K  0.1250  0.7500  0.8750  4 I 3.31
K  0.1250  0.8750  0.2500  4 I 3.31
K  0.2500  0.1250  0.8750  4 I 3.31
K  0.2500  0.6250  0.3750  4 I 3.31
K  0.3750  0.2500  0.6250  4 I 3.31
K  0.3750  0.6250  0.7500  4 I 3.31
K  0.5000  0.0000  0.0000  6 I 3.44
K  0.5000  0.0000  0.5000  6 I 3.44
K  0.5000  0.5000  0.0000  6 I 3.44
K  0.5000  0.5000  0.5000  6 I 3.44
K  0.6250  0.3750  0.2500  4 I 3.31
K  0.6250  0.7500  0.3750  4 I 3.31
K  0.7500  0.3750  0.6250  4 I 3.31
K  0.7500  0.8750  0.1250  4 I 3.31
K  0.8750  0.1250  0.7500  4 I 3.31
K  0.8750  0.2500  0.1250  4 I 3.31
La  0.1250  0.2500  0.3750  4 I 3.34
La  0.1250  0.3750  0.7500  4 I 3.34
La  0.2500  0.3750  0.1250  4 I 3.34
La  0.2500  0.8750  0.6250  4 I 3.34
La  0.3750  0.1250  0.2500  4 I 3.34
La  0.3750  0.7500  0.1250  4 I 3.34
La  0.6250  0.2500  0.8750  4 I 3.34
La  0.6250  0.8750  0.7500  4 I 3.34
La  0.7500  0.1250  0.3750  4 I 3.34
La  0.7500  0.6250  0.8750  4 I 3.34
La  0.8750  0.6250  0.2500  4 I 3.34
La  0.8750  0.7500  0.6250  4 I 3.34
I  0.0630  0.2346  0.1281  2 K 3.31-3.44, 1 La 3.34
I  0.0630  0.3283  0.9349  2 K 3.31-3.44, 1 La 3.34
I  0.0651  0.6281  0.3935  2 K 3.31-3.44, 1 La 3.34
I  0.0651  0.9370  0.6717  2 K 3.31-3.44, 1 La 3.34
I  0.1065  0.7346  0.6717  2 K 3.31-3.44, 1 La 3.34
I  0.1065  0.8719  0.4349  2 K 3.31-3.44, 1 La 3.34
I  0.1281  0.0630  0.2346  2 K 3.31-3.44, 1 La 3.34
I  0.1281  0.5651  0.8935  2 K 3.31-3.44, 1 La 3.34
I  0.1717  0.2346  0.6065  2 K 3.31-3.44, 1 La 3.34
I  0.1717  0.4370  0.5651  2 K 3.31-3.44, 1 La 3.34
I  0.2346  0.1281  0.0630  2 K 3.31-3.44, 1 La 3.34
I  0.2346  0.6065  0.1717  2 K 3.31-3.44, 1 La 3.34
I  0.2654  0.3283  0.8935  2 K 3.31-3.44, 1 La 3.34
I  0.2654  0.4370  0.3719  2 K 3.31-3.44, 1 La 3.34
I  0.3283  0.8935  0.2654  2 K 3.31-3.44, 1 La 3.34
I  0.3283  0.9349  0.0630  2 K 3.31-3.44, 1 La 3.34
I  0.3719  0.2654  0.4370  2 K 3.31-3.44, 1 La 3.34
I  0.3719  0.6065  0.9349  2 K 3.31-3.44, 1 La 3.34
I  0.3935  0.0651  0.6281  2 K 3.31-3.44, 1 La 3.34
I  0.3935  0.8283  0.7654  2 K 3.31-3.44, 1 La 3.34
I  0.4349  0.1065  0.8719  2 K 3.31-3.44, 1 La 3.34
I  0.4349  0.8283  0.5630  2 K 3.31-3.44, 1 La 3.34
I  0.4370  0.3719  0.2654  2 K 3.31-3.44, 1 La 3.34
I  0.4370  0.5651  0.1717  2 K 3.31-3.44, 1 La 3.34
I  0.5630  0.4349  0.8283  2 K 3.31-3.44, 1 La 3.34
I  0.5630  0.6281  0.7346  2 K 3.31-3.44, 1 La 3.34
I  0.5651  0.1717  0.4370  2 K 3.31-3.44, 1 La 3.34
I  0.5651  0.8935  0.1281  2 K 3.31-3.44, 1 La 3.34
I  0.6065  0.1717  0.2346  2 K 3.31-3.44, 1 La 3.34
I  0.6065  0.9349  0.3719  2 K 3.31-3.44, 1 La 3.34
I  0.6281  0.3935  0.0651  2 K 3.31-3.44, 1 La 3.34
I  0.6281  0.7346  0.5630  2 K 3.31-3.44, 1 La 3.34
I  0.6717  0.0651  0.9370  2 K 3.31-3.44, 1 La 3.34
I  0.6717  0.1065  0.7346  2 K 3.31-3.44, 1 La 3.34
I  0.7346  0.5630  0.6281  2 K 3.31-3.44, 1 La 3.34
I  0.7346  0.6717  0.1065  2 K 3.31-3.44, 1 La 3.34
I  0.7654  0.3935  0.8283  2 K 3.31-3.44, 1 La 3.34
I  0.7654  0.8719  0.9370  2 K 3.31-3.44, 1 La 3.34
I  0.8283  0.5630  0.4349  2 K 3.31-3.44, 1 La 3.34
I  0.8283  0.7654  0.3935  2 K 3.31-3.44, 1 La 3.34
I  0.8719  0.4349  0.1065  2 K 3.31-3.44, 1 La 3.34
I  0.8719  0.9370  0.7654  2 K 3.31-3.44, 1 La 3.34
I  0.8935  0.1281  0.5651  2 K 3.31-3.44, 1 La 3.34
I  0.8935  0.2654  0.3283  2 K 3.31-3.44, 1 La 3.34
I  0.9349  0.0630  0.3283  2 K 3.31-3.44, 1 La 3.34
I  0.9349  0.3719  0.6065  2 K 3.31-3.44, 1 La 3.34
I  0.9370  0.6717  0.0651  2 K 3.31-3.44, 1 La 3.34
I  0.9370  0.7654  0.8719  2 K 3.31-3.44, 1 La 3.34

Properties
formation energy from raw total energies = -1.237 eV/atom
volume = 48.859 Å³ per atom
mass density = 3.628 Mg/m³


A plane-wave DFT calculation with PBE was carried out for a relaxed structure of K2LaI5.

a = 9.1994 Å, b = 9.1994 Å, c = 9.3287 Å
α = 119.52°, β = 119.52°, γ = 89.98°
Closest atoms and distances in Å follow each position.
Positions (direct):
K  0.2496  0.7504  0.0000  4 I 3.50
K  0.7504  0.2496  0.0000  4 I 3.50
La  0.0969  0.0969  0.6931  5 I 3.02-3.15
I  0.3894  0.3894  0.8096  1 La 3.15, 2 K 3.50
I  0.3896  0.9206  0.8099  1 La 3.15, 2 K 3.50
I  0.8717  0.8717  0.2420  1 La 3.02
I  0.9201  0.9201  0.8086  1 La 3.15, 2 K 3.50
I  0.9206  0.3896  0.8099  1 La 3.15, 2 K 3.50

Properties
formation energy from raw total energies = -1.409 eV/atom
volume = 70.794 Å³ per atom
mass density = 2.497 Mg/m³


A plane-wave DFT calculation with PBE was carried out for a relaxed structure of KLaI4.

a = 8.0590 Å, b = 4.8294 Å, c = 8.9007 Å
α = 90.00°, β = 111.40°, γ = 90.00°
Closest atoms and distances in Å follow each position.
Positions (direct):
K  0.0000  0.0000  0.0000  6 I 3.50-3.70
La  0.0000  0.5000  0.5000  6 I 3.12-3.25
I  0.2305  0.5000  0.2843  1 La 3.12
I  0.2392  0.0000  0.7160  2 La 3.25
I  0.7608  0.0000  0.2840  2 La 3.25
I  0.7695  0.5000  0.7157  1 La 3.12

Properties
formation energy from raw total energies = -1.493 eV/atom
volume = 53.757 Å³ per atom
mass density = 3.530 Mg/m³